# BaHg2Os GGA-PBE relaxed
# E_tot: -2.616 eV/atom
# DOS(E_F): 0.506 states/eV per atom
data_BaHg2Os
_symmetry_space_group_name_H-M 'C m m m'
_symmetry_Int_Tables_number 65
_symmetry_space_group_name_Hall '-C 2 2'
_cell_length_a 6.5246
_cell_length_b 9.1491
_cell_length_c 3.2716
_cell_angle_alpha 90.00
_cell_angle_beta 90.00
_cell_angle_gamma 90.00
loop_
_atom_site_label
_atom_site_fract_x
_atom_site_fract_y
_atom_site_fract_z
_atom_site_occupancy
Ba1 0.0000 0.0000 0.0000 1
Hg1 0.2500 0.2500 0.5000 1
Os1 0.0000 0.5000 0.0000 1